# MnReF2 (PBEsol, optimized geometry)
data_MnReF2
_symmetry_space_group_name_H-M 'R -3 m'
_symmetry_Int_Tables_number 166
_symmetry_space_group_name_Hall '-R 3 2"'
_cell_length_a 2.6887
_cell_length_b 2.6887
_cell_length_c 22.4506
_cell_angle_alpha 90.00
_cell_angle_beta 90.00
_cell_angle_gamma 120.00
loop_
_atom_site_label
_atom_site_fract_x
_atom_site_fract_y
_atom_site_fract_z
_atom_site_occupancy
Mn1 0.0000 0.0000 0.0000 1
Re1 0.0000 0.0000 0.5000 1
F1 0.0000 0.0000 0.4088 1
# Magnetic moment (μB/f.u.): 4.1
# Formation energy (no corrections) (eV/atom): -0.77